Material: Y2PdCl
Method: DFT, GGA-PBE
State: relaxed

a b c (Å): 3.9474 3.9474 7.9810
angles (deg): 75.68 75.68 60.00
Last column: nearest neighbours and their distance in Å.
Sites, in units of the cell vectors:
Cl 0.4958 0.4958 0.5125  6 Y 3.08-3.26
Y 0.2641 0.2641 0.2078  3 Pd 2.80
Y 0.0720 0.0720 0.7839  3 Pd 2.80, 3 Cl 3.08
Pd 0.6681 0.6681 0.9958  6 Y 2.80

* E_form (uncorrected): -1040 meV per atom
* SG: R3m, No. 160
* total energy: -6.0323 eV/atom
* crystal system: trigonal
* relative energy among the computed polymorphs: 0.00 eV/f.u.

***

Material: YPdCl3
Method: DFT, GGA-PBE
State: relaxed

a b c (Å): 5.2540 5.2540 5.2540
angles (deg): 90.00 90.00 90.00
Last column: nearest neighbours and their distance in Å.
Sites, in units of the cell vectors:
Cl 0.0000 0.5000 0.0000  2 Y 2.63
Cl 0.0000 0.0000 0.5000  2 Y 2.63
Cl 0.5000 0.0000 0.0000  2 Y 2.63
Y 0.0000 0.0000 0.0000  6 Cl 2.63
Pd 0.5000 0.5000 0.5000  12 Cl 3.72

* E_form (uncorrected): -1131 meV per atom
* SG: Pm-3m, No. 221
* total energy: -4.5701 eV/atom
* crystal system: cubic

***

Material: ZnPdCl3
Method: DFT, GGA-PBE
State: relaxed

a b c (Å): 4.8333 4.8333 4.8333
angles (deg): 90.00 90.00 90.00
Last column: nearest neighbours and their distance in Å.
Sites, in units of the cell vectors:
Pd 0.5000 0.5000 0.5000  12 Cl 3.42
Cl 0.0000 0.0000 0.5000  2 Zn 2.42
Cl 0.0000 0.5000 0.0000  2 Zn 2.42
Cl 0.5000 0.0000 0.0000  2 Zn 2.42
Zn 0.0000 0.0000 0.0000  6 Cl 2.42

* E_form (uncorrected): -195 meV per atom
* SG: Pm-3m, No. 221
* total energy: -2.5963 eV/atom
* crystal system: cubic
* relative energy among the computed polymorphs: 0.00 eV/f.u.